1.
TaNb2AlH: optimized geometry, PBE.

```
TaNb2AlH
1.0
-0.334 -4.087 1.218
3.439 -0.981 -2.348
2.349 0.741 3.130
H Nb Al Ta
1 2 1 1
direct
0.000 0.000 0.000
0.000 0.500 0.000
0.500 0.000 0.000
0.500 0.500 0.500
0.000 0.000 0.500
```

Results
Magnetic moment in μB/cell: 0.000
Electronic total energy in eV per atom: -7.99
Space-group type: P4/mmm, No. 123
D(E_F) in states/eV per cell: 4.259



2.
NbAl2TcH: optimized geometry, PBE.

```
NbAl2TcH
1.0
4.094 0.000 0.000
0.000 4.094 0.000
0.000 0.000 3.846
H Nb Tc Al
1 1 1 2
direct
0.000 0.000 0.000
0.500 0.500 0.500
0.000 0.000 0.500
0.000 0.500 0.000
0.500 0.000 0.000
```

Results
Magnetic moment in μB/cell: 0.000
Electronic total energy in eV per atom: -6.36
Space-group type: P4/mmm, No. 123
D(E_F) in states/eV per cell: 3.044



3.
NbAl2TcH: optimized geometry, PBE.

```
NbAl2TcH
1.0
4.776 0.000 0.000
0.000 4.756 0.000
0.000 0.000 4.776
H Nb Tc Al
1 1 1 2
direct
0.500 0.500 0.500
0.000 0.500 0.000
0.000 0.000 0.000
0.000 0.000 0.500
0.500 0.000 0.000
```

Results
Magnetic moment in μB/cell: 0.531
Electronic total energy in eV per atom: -5.27
Space-group type: P4/mmm, No. 123
D(E_F) in states/eV per cell: 3.858



4.
NbAl2TcH: optimized geometry, PBE.

```
NbAl2TcH
1.0
-0.942 -3.604 1.514
2.977 -1.671 -2.124
2.512 0.619 3.035
H Nb Tc Al
1 1 1 2
direct
0.000 0.000 0.000
0.000 0.000 0.500
0.500 0.500 0.500
0.000 0.500 0.000
0.500 0.000 0.000
```

Results
Magnetic moment in μB/cell: 0.000
Electronic total energy in eV per atom: -6.35
Space-group type: P4/mmm, No. 123
D(E_F) in states/eV per cell: 3.464



5.
Nb2AlTcH: optimized geometry, PBE.

```
Nb2AlTcH
1.0
-3.696 -1.550 -1.099
-1.039 -0.365 4.007
-1.518 3.662 -0.060
H Nb Tc Al
1 2 1 1
direct
0.000 0.000 0.000
0.000 0.500 0.000
0.500 0.000 0.000
0.000 0.000 0.500
0.500 0.500 0.500
```

Results
Magnetic moment in μB/cell: 0.000
Electronic total energy in eV per atom: -7.72
Space-group type: P4/mmm, No. 123
D(E_F) in states/eV per cell: 2.800



6.
Nb2AlTcH: optimized geometry, PBE.

```
Nb2AlTcH
1.0
4.046 0.000 0.000
0.000 4.046 0.000
0.000 0.000 4.172
H Nb Tc Al
1 2 1 1
direct
0.000 0.000 0.000
0.000 0.500 0.000
0.500 0.000 0.000
0.500 0.500 0.500
0.000 0.000 0.500
```

Results
Magnetic moment in μB/cell: 0.000
Electronic total energy in eV per atom: -7.62
Space-group type: P4/mmm, No. 123
D(E_F) in states/eV per cell: 2.960



7.
TiNb2AlH: optimized geometry, PBE.

```
TiNb2AlH
1.0
3.976 0.000 0.000
0.000 3.976 0.000
0.000 0.000 4.553
H Nb Al Ti
1 2 1 1
direct
0.000 0.000 0.000
0.000 0.500 0.000
0.500 0.000 0.000
0.000 0.000 0.500
0.500 0.500 0.500
```

Results
Magnetic moment in μB/cell: 0.000
Electronic total energy in eV per atom: -7.21
Space-group type: P4/mmm, No. 123
D(E_F) in states/eV per cell: 2.451



8.
TiNb2AlH: optimized geometry, PBE.

```
TiNb2AlH
1.0
-0.721 0.238 3.953
-0.701 -3.962 0.111
4.266 -0.732 0.822
H Nb Al Ti
1 2 1 1
direct
0.000 0.000 0.000
0.000 0.500 0.000
0.500 0.000 0.000
0.500 0.500 0.500
0.000 0.000 0.500
```

Results
Magnetic moment in μB/cell: 0.000
Electronic total energy in eV per atom: -7.30
Space-group type: P4/mmm, No. 123
D(E_F) in states/eV per cell: 4.053